The following is a PBE with a Hubbard U calculation of a geometry-optimized CdMoO2F structure, from Alexandria.

Structure (CIF):
```
data_CdMoO2F
_cell_length_a 4.084
_cell_length_b 4.084
_cell_length_c 4.231
_cell_angle_alpha 90.00
_cell_angle_beta 90.00
_cell_angle_gamma 90.00
_space_group_name_H-M_alt 'P 4/m m m'
_space_group_IT_number 123
_space_group_name_Hall '-P 4 2'
loop_
_atom_site_label
_atom_site_type_symbol
_atom_site_fract_x
_atom_site_fract_y
_atom_site_fract_z
Cd1 Cd 0.000 0.000 0.000
Mo1 Mo 0.500 0.500 0.500
O1 O 0.000 0.500 0.500
F1 F 0.500 0.500 0.000
```

## Properties
Electronic total energy ... -26.5 eV per cell
ρ ... 6.10 g/cm³